(1)
DFT (PBE-GGA) results for a relaxed structure of Mn2NiMo2.

Output
Space group: No. 127
D(E_F), states/eV/cell: 12.18
Theoretical density, g/cm³: 8.9
ΔH_f (0 K), kJ per mole of atoms: 26.2
Total moment, Bohr magnetons per cell: 1.5
Relative energy among the computed polymorphs, meV per atom: 0.0

Unit cell a=6.7653 b=6.7653 c=2.9302 alpha=90.00 beta=90.00 gamma=90.00
Closest atoms and distances in Å follow each position.
Fractional positions:
Mn1 0.1355 0.3645 0.0000  6 Mo 2.38-2.53, 1 Mn 2.59, 2 Ni 2.63
Mn2 0.3645 0.8645 0.0000  6 Mo 2.38-2.53, 1 Mn 2.59, 2 Ni 2.63
Mn3 0.6355 0.1355 0.0000  6 Mo 2.38-2.53, 1 Mn 2.59, 2 Ni 2.63
Mn4 0.8645 0.6355 0.0000  6 Mo 2.38-2.53, 1 Mn 2.59, 2 Ni 2.63
Ni1 0.0000 0.0000 0.0000  4 Mn 2.63, 8 Mo 2.91, 2 Ni 2.93
Ni2 0.5000 0.5000 0.0000  4 Mn 2.63, 8 Mo 2.91, 2 Ni 2.93
Mo1 0.1683 0.6683 0.5000  6 Mn 2.38-2.53
Mo2 0.3317 0.1683 0.5000  6 Mn 2.38-2.53
Mo3 0.6683 0.8317 0.5000  6 Mn 2.38-2.53
Mo4 0.8317 0.3317 0.5000  6 Mn 2.38-2.53

(2)
DFT (PBE-GGA) results for a relaxed structure of Mn4NiMo.

Output
Space group: No. 216
D(E_F), states/eV/cell: 7.84
Theoretical density, g/cm³: 8.8
ΔH_f (0 K), kJ per mole of atoms: 5.7
Total moment, Bohr magnetons per cell: 1.6

Unit cell a=4.6484 b=4.6484 c=4.6484 alpha=60.00 beta=60.00 gamma=60.00
Closest atoms and distances in Å follow each position.
Fractional positions:
Mn1 0.1232 0.1232 0.1232  6 Mn 2.29-2.36
Mn2 0.1232 0.1232 0.6304  6 Mn 2.29-2.36
Mn3 0.1232 0.6304 0.1232  6 Mn 2.29-2.36
Mn4 0.6304 0.1232 0.1232  6 Mn 2.29-2.36
Ni1 0.7500 0.7500 0.7500  12 Mn 2.72, 4 Mo 2.85
Mo1 0.5000 0.5000 0.5000  12 Mn 2.73, 4 Ni 2.85

(3)
DFT (PBE-GGA) results for a relaxed structure of MnNiMo.

Output
Space group: No. 216
D(E_F), states/eV/cell: 3.92
Theoretical density, g/cm³: 7.5
ΔH_f (0 K), kJ per mole of atoms: 55.1
Total moment, Bohr magnetons per cell: 4.1
Relative energy among the computed polymorphs, meV per atom: 505.8

Unit cell a=4.0257 b=4.0257 c=4.0257 alpha=60.00 beta=60.00 gamma=60.00
Closest atoms and distances in Å follow each position.
Fractional positions:
Mn1 0.0000 0.0000 0.0000  4 Ni 2.47
Ni1 0.7500 0.7500 0.7500  4 Mo 2.47, 4 Mn 2.47
Mo1 0.5000 0.5000 0.5000  4 Ni 2.47

(4)
DFT (PBE-GGA) results for a relaxed structure of MnNiMo.

Output
Space group: No. 156
D(E_F), states/eV/cell: 3.93
Theoretical density, g/cm³: 9.2
ΔH_f (0 K), kJ per mole of atoms: 14.8
Total moment, Bohr magnetons per cell: 0.0
Relative energy among the computed polymorphs, meV per atom: 88.3

Unit cell a=4.1756 b=4.1756 c=2.5139 alpha=90.00 beta=90.00 gamma=120.00
Closest atoms and distances in Å follow each position.
Fractional positions:
Mn1 0.0000 0.0000 0.0000  3 Mo 2.51, 2 Mn 2.51, 3 Ni 2.60
Ni1 0.3333 0.6667 0.6171  2 Ni 2.51, 3 Mo 2.56, 3 Mn 2.60
Mo1 0.6667 0.3333 0.2741  3 Mn 2.51, 2 Mo 2.51, 3 Ni 2.56

(5)
DFT (PBE-GGA) results for a relaxed structure of MnNi6Mo.

Output
Space group: No. 123
D(E_F), states/eV/cell: 3.87
Theoretical density, g/cm³: 8.9
ΔH_f (0 K), kJ per mole of atoms: -7.7
Total moment, Bohr magnetons per cell: 5.1
Relative energy among the computed polymorphs, meV per atom: 0.0

Unit cell a=3.6088 b=3.6088 c=7.2074 alpha=90.00 beta=90.00 gamma=90.00
Closest atoms and distances in Å follow each position.
Fractional positions:
Mn1 0.0000 0.0000 0.0000  12 Ni 2.55-2.56
Ni1 0.0000 0.5000 0.2518  2 Mo 2.54, 8 Ni 2.54-2.56, 2 Mn 2.56
Ni2 0.0000 0.5000 0.7482  2 Mo 2.54, 8 Ni 2.54-2.56, 2 Mn 2.56
Ni3 0.5000 0.0000 0.2518  2 Mo 2.54, 8 Ni 2.54-2.56, 2 Mn 2.56
Ni4 0.5000 0.0000 0.7482  2 Mo 2.54, 8 Ni 2.54-2.56, 2 Mn 2.56
Ni5 0.5000 0.5000 0.0000  4 Mn 2.55, 8 Ni 2.56
Ni6 0.5000 0.5000 0.5000  8 Ni 2.54, 4 Mo 2.55
Mo1 0.0000 0.0000 0.5000  12 Ni 2.54-2.55

(6)
DFT (PBE-GGA) results for a relaxed structure of MnNi6Mo.

Output
Space group: No. 12
D(E_F), states/eV/cell: 9.80
Theoretical density, g/cm³: 7.9
ΔH_f (0 K), kJ per mole of atoms: 25.4
Total moment, Bohr magnetons per cell: 3.6
Relative energy among the computed polymorphs, meV per atom: 342.9

Unit cell a=4.3239 b=4.3239 c=6.3936 alpha=104.69 beta=104.69 gamma=67.39
Closest atoms and distances in Å follow each position.
Fractional positions:
Mn1 0.0000 0.0000 0.0000  6 Ni 2.38-2.53
Ni1 0.0567 0.5374 0.6996  5 Ni 2.31-2.54, 1 Mn 2.38, 2 Mo 2.47-2.50
Ni2 0.3651 0.3651 0.0698  5 Ni 2.37-2.54, 1 Mn 2.53, 1 Mo 2.62
Ni3 0.4626 0.9433 0.3004  5 Ni 2.31-2.54, 1 Mn 2.38, 2 Mo 2.47-2.50
Ni4 0.5374 0.0567 0.6996  5 Ni 2.31-2.54, 1 Mn 2.38, 2 Mo 2.47-2.50
Ni5 0.6349 0.6349 0.9302  5 Ni 2.37-2.54, 1 Mn 2.53, 1 Mo 2.62
Ni6 0.9433 0.4626 0.3004  5 Ni 2.31-2.54, 1 Mn 2.38, 2 Mo 2.47-2.50
Mo1 0.5000 0.5000 0.5000  10 Ni 2.47-2.62

(7)
DFT (PBE-GGA) results for a relaxed structure of MnNi3Mo.

Output
Space group: No. 63
D(E_F), states/eV/cell: 9.93
Theoretical density, g/cm³: 8.2
ΔH_f (0 K), kJ per mole of atoms: 21.8
Total moment, Bohr magnetons per cell: 7.2
Relative energy among the computed polymorphs, meV per atom: 0.0

Unit cell a=6.6868 b=6.6868 c=4.4977 alpha=90.00 beta=90.00 gamma=138.99
Closest atoms and distances in Å follow each position.
Fractional positions:
Mn1 0.0700 0.9300 0.7500  10 Ni 2.68-2.88, 2 Mo 2.78, 2 Mn 2.85
Mn2 0.9300 0.0700 0.2500  10 Ni 2.68-2.88, 2 Mo 2.78, 2 Mn 2.85
Ni1 0.1064 0.3877 0.7500  4 Ni 2.31-2.40, 1 Mo 2.42
Ni2 0.3877 0.1064 0.2500  4 Ni 2.31-2.40, 1 Mo 2.42
Ni3 0.5000 0.5000 0.0000  6 Ni 2.25-2.40
Ni4 0.5000 0.5000 0.5000  6 Ni 2.25-2.40
Ni5 0.6123 0.8936 0.7500  4 Ni 2.31-2.40, 1 Mo 2.42
Ni6 0.8936 0.6123 0.2500  4 Ni 2.31-2.40, 1 Mo 2.42
Mo1 0.3104 0.6896 0.2500  8 Ni 2.42-2.63
Mo2 0.6896 0.3104 0.7500  8 Ni 2.42-2.63

(8)
DFT (PBE-GGA) results for a relaxed structure of MnNi2Mo2.

Output
Space group: No. 127
D(E_F), states/eV/cell: 12.50
Theoretical density, g/cm³: 9.2
ΔH_f (0 K), kJ per mole of atoms: 24.6
Total moment, Bohr magnetons per cell: 0.0

Unit cell a=6.3395 b=6.3395 c=3.2744 alpha=90.00 beta=90.00 gamma=90.00
Closest atoms and distances in Å follow each position.
Fractional positions:
Mn1 0.0000 0.0000 0.0000  4 Ni 2.50
Mn2 0.5000 0.5000 0.0000  4 Ni 2.50
Ni1 0.1274 0.3726 0.0000  1 Ni 2.28, 6 Mo 2.40-2.55, 2 Mn 2.50
Ni2 0.3726 0.8726 0.0000  1 Ni 2.28, 6 Mo 2.40-2.55, 2 Mn 2.50
Ni3 0.6274 0.1274 0.0000  1 Ni 2.28, 6 Mo 2.40-2.55, 2 Mn 2.50
Ni4 0.8726 0.6274 0.0000  1 Ni 2.28, 6 Mo 2.40-2.55, 2 Mn 2.50
Mo1 0.1770 0.6770 0.5000  6 Ni 2.40-2.55
Mo2 0.3230 0.1770 0.5000  6 Ni 2.40-2.55
Mo3 0.6770 0.8230 0.5000  6 Ni 2.40-2.55
Mo4 0.8230 0.3230 0.5000  6 Ni 2.40-2.55

(9)
DFT (PBE-GGA) results for a relaxed structure of MnNi3Mo.

Output
Space group: No. 221
D(E_F), states/eV/cell: 9.45
Theoretical density, g/cm³: 7.4
ΔH_f (0 K), kJ per mole of atoms: 123.1
Total moment, Bohr magnetons per cell: 4.2
Relative energy among the computed polymorphs, meV per atom: 1049.7

Unit cell a=4.1796 b=4.1796 c=4.1796 alpha=90.00 beta=90.00 gamma=90.00
Closest atoms and distances in Å follow each position.
Fractional positions:
Mn1 0.0000 0.0000 0.0000  6 Ni 2.09
Ni1 0.0000 0.0000 0.5000  2 Mn 2.09
Ni2 0.0000 0.5000 0.0000  2 Mn 2.09
Ni3 0.5000 0.0000 0.0000  2 Mn 2.09
Mo1 0.5000 0.5000 0.5000  12 Ni 2.96

(10)
DFT (PBE-GGA) results for a relaxed structure of MnNiMo.

Output
Space group: No. 180
D(E_F), states/eV/cell: 14.01
Theoretical density, g/cm³: 8.8
ΔH_f (0 K), kJ per mole of atoms: 28.4
Total moment, Bohr magnetons per cell: 0.0
Relative energy among the computed polymorphs, meV per atom: 228.9

Unit cell a=4.6746 b=4.6746 c=12.4689 alpha=90.00 beta=90.00 gamma=120.00
Closest atoms and distances in Å follow each position.
Fractional positions:
Mn1 0.0000 0.5000 0.3366  2 Mo 2.34, 2 Mn 2.34, 4 Ni 2.46-2.48
Mn2 0.0000 0.5000 0.9968  2 Mo 2.34, 2 Mn 2.34, 4 Ni 2.46-2.48
Mn3 0.5000 0.0000 0.3301  2 Mo 2.34, 2 Mn 2.34, 4 Ni 2.46-2.48
Mn4 0.5000 0.0000 0.6699  2 Mo 2.34, 2 Mn 2.34, 4 Ni 2.46-2.48
Mn5 0.5000 0.5000 0.0032  2 Mo 2.34, 2 Mn 2.34, 4 Ni 2.46-2.48
Mn6 0.5000 0.5000 0.6634  2 Mo 2.34, 2 Mn 2.34, 4 Ni 2.46-2.48
Ni1 0.3186 0.6593 0.1667  4 Mn 2.46-2.48, 4 Mo 2.49-2.67, 1 Ni 2.58
Ni2 0.3407 0.6593 0.8333  4 Mn 2.46-2.48, 4 Mo 2.49-2.67, 1 Ni 2.58
Ni3 0.3407 0.6814 0.5000  4 Mn 2.46-2.48, 4 Mo 2.49-2.67, 1 Ni 2.58
Ni4 0.6593 0.3186 0.5000  4 Mn 2.46-2.48, 4 Mo 2.49-2.67, 1 Ni 2.58
Ni5 0.6593 0.3407 0.8333  4 Mn 2.46-2.48, 4 Mo 2.49-2.67, 1 Ni 2.58
Ni6 0.6814 0.3407 0.1667  4 Mn 2.46-2.48, 4 Mo 2.49-2.67, 1 Ni 2.58
Mo1 0.0000 0.0000 0.1667  6 Ni 2.67-2.76
Mo2 0.0000 0.0000 0.5000  6 Ni 2.67-2.76
Mo3 0.0000 0.0000 0.8333  6 Ni 2.67-2.76
Mo4 0.0000 0.5000 0.6667  4 Mn 2.34, 4 Ni 2.49
Mo5 0.5000 0.0000 0.0000  4 Mn 2.34, 4 Ni 2.49
Mo6 0.5000 0.5000 0.3333  4 Mn 2.34, 4 Ni 2.49

no.,VASP energy (eV/atom)
1,-8.885
2,-8.822
3,-8.023
4,-8.440
5,-6.916
6,-6.573
7,-7.242
8,-8.224
9,-6.193
10,-8.300